Compound: Ga2Pb3Au3
Source: the Alexandria database
Functional: GGA-PBE
Structure: relaxed

Cell and atoms, written as POSCAR:
```
Ga2Pb3Au3
1.0
1.893 -6.693 0.000
1.893 6.693 0.000
0.000 0.000 14.780
Ga Pb Au
4 6 6
direct
0.233 0.767 0.583
0.233 0.767 0.917
0.767 0.233 0.083
0.767 0.233 0.417
0.054 0.946 0.130
0.054 0.946 0.370
0.374 0.626 0.250
0.626 0.374 0.750
0.946 0.054 0.630
0.946 0.054 0.870
0.305 0.695 0.750
0.393 0.607 0.030
0.393 0.607 0.470
0.607 0.393 0.530
0.607 0.393 0.970
0.695 0.305 0.250
```

* DFT formation energy: -0.125 eV/atom
* VASP energy: -0.2574 Ry per atom
* symmetry: Cmcm, No. 63
* M_tot: 0.000 Bohr magnetons per cell